Arrangement P

Material: KLi2ZnAs
Method: DFT, GGA-PBE
State: optimized geometry

Cell and atoms, written as POSCAR:
```
KLi2ZnAs
1.0
-0.769 5.049 -0.145
-1.178 -0.317 -4.766
-4.900 -0.711 1.259
K Li Zn As
1 2 1 1
direct
0.500 0.500 0.500 K
0.000 0.000 0.500 Li
0.500 0.000 0.000 Li
0.000 0.000 0.000 Zn
0.000 0.500 0.000 As
```

Output
For the size of the total moment, the calculation gives 0.0 μB per cell.

Arrangement Q

Material: KLi2ZnAs
Method: DFT, GGA-PBE
State: optimized geometry

Cell and atoms, written as POSCAR:
```
KLi2ZnAs
1.0
-1.491 -3.707 -3.345
4.901 -0.296 -1.856
1.122 -3.651 3.546
Li Zn As K
2 1 1 1
direct
0.000 0.000 0.500 Li
0.500 0.000 0.000 Li
0.000 0.500 0.000 Zn
0.500 0.500 0.500 As
0.000 0.000 0.000 K
```

Output
For the size of the total moment, the calculation gives 0.0 μB per cell.

Ordering by calculated energy gives the sequence arrangement P, arrangement Q, with the first entry being the most stable.